{"formula": "ZrSc3N", "functional": "PBE", "state": "relaxed", "cell": [[5.030, 0.000, 0.000], [0.000, 5.030, 0.000], [0.000, 0.000, 5.030]], "species": ["Sc", "Sc", "Sc", "Zr", "N"], "frac_coords": [[0.000, 0.500, 0.000], [0.000, 0.000, 0.500], [0.500, 0.000, 0.000], [0.000, 0.000, 0.000], [0.500, 0.500, 0.500]], "e_above_lowest_polymorph_mev_per_atom": 2388, "raw_formation_energy_ev_per_fu": 8.7, "magnetic_moment_mub_per_fu": 0.0, "dos_at_fermi_per_ev_fu": 3.53}